# 1
# PBE-GGA NaNdP2Pd5, relaxed
# - total magnetic moment (μB/f.u.) = 0.000
# - electronic total energy (eV/atom) = -5.4366
# - DFT formation energy (kJ/mol of formula units) = -584.5
data_NaNdP2Pd5
_symmetry_space_group_name_H-M 'P 4/m m m'
_symmetry_Int_Tables_number 123
_symmetry_space_group_name_Hall '-P 4 2'
_cell_length_a 4.2194
_cell_length_b 4.2194
_cell_length_c 8.4951
_cell_angle_alpha 90.00
_cell_angle_beta 90.00
_cell_angle_gamma 90.00
loop_
_atom_site_label
_atom_site_fract_x
_atom_site_fract_y
_atom_site_fract_z
Na1 0.0000 0.0000 0.0000
Nd1 0.0000 0.0000 0.5000
P1 0.5000 0.5000 0.3674
Pd1 0.0000 0.5000 0.2309
Pd2 0.5000 0.5000 0.0000

=====

# 2
# PBE-GGA NaNdP2Pt4, relaxed
# - total magnetic moment (μB/f.u.) = 0.000
# - electronic total energy (eV/atom) = -5.8039
# - DFT formation energy (kJ/mol of formula units) = -517.3
data_NaNdP2Pt4
_symmetry_space_group_name_H-M 'P 4/m m m'
_symmetry_Int_Tables_number 123
_symmetry_space_group_name_Hall '-P 4 2'
_cell_length_a 4.0378
_cell_length_b 4.0378
_cell_length_c 10.1354
_cell_angle_alpha 90.00
_cell_angle_beta 90.00
_cell_angle_gamma 90.00
loop_
_atom_site_label
_atom_site_fract_x
_atom_site_fract_y
_atom_site_fract_z
Na1 0.0000 0.0000 0.0000
Nd1 0.0000 0.0000 0.5000
P1 0.5000 0.5000 0.1561
Pt1 0.0000 0.5000 0.2745

=====

# 3
# PBE-GGA NaNd2P3Rh12, relaxed
# - total magnetic moment (μB/f.u.) = 0.000
# - electronic total energy (eV/atom) = -6.6074
# - DFT formation energy (kJ/mol of formula units) = -350.4
data_NaNd2P3Rh12
_symmetry_space_group_name_H-M 'R -3 m'
_symmetry_Int_Tables_number 166
_symmetry_space_group_name_Hall '-R 3 2"'
_cell_length_a 8.9653
_cell_length_b 8.9653
_cell_length_c 12.8712
_cell_angle_alpha 90.00
_cell_angle_beta 90.00
_cell_angle_gamma 120.00
loop_
_atom_site_label
_atom_site_fract_x
_atom_site_fract_y
_atom_site_fract_z
Na1 0.0000 0.0000 0.0000
Nd1 0.0000 0.0000 0.3725
P1 0.0000 0.5000 0.5000
Rh1 0.0023 0.5012 0.3276
Rh2 0.0286 0.5143 0.8809

=====

# 4
# PBE-GGA NaNdPaS4, relaxed
# - total magnetic moment (μB/f.u.) = 1.027
# - electronic total energy (eV/atom) = -6.2714
data_NaNdPaS4
_symmetry_space_group_name_H-M 'I m m a'
_symmetry_Int_Tables_number 74
_symmetry_space_group_name_Hall '-I 2b 2'
_cell_length_a 8.2172
_cell_length_b 8.3451
_cell_length_c 11.7787
_cell_angle_alpha 90.00
_cell_angle_beta 90.00
_cell_angle_gamma 90.00
loop_
_atom_site_label
_atom_site_fract_x
_atom_site_fract_y
_atom_site_fract_z
Na1 0.0000 0.2500 0.1229
Nd1 0.0000 0.0000 0.5000
Pa1 0.2500 0.2500 0.7500
S1 0.0000 0.0312 0.7419
S2 0.2333 0.2500 0.5208

=====

# 5
# PBE-GGA Na3Nd2PaS6, relaxed
# - total magnetic moment (μB/f.u.) = 1.521
# - electronic total energy (eV/atom) = -5.6431
data_Na3Nd2PaS6
_symmetry_space_group_name_H-M 'C 1 2/m 1'
_symmetry_Int_Tables_number 12
_cell_length_a 7.0324
_cell_length_b 12.1762
_cell_length_c 7.1400
_cell_angle_alpha 90.00
_cell_angle_beta 109.24
_cell_angle_gamma 90.00
loop_
_symmetry_equiv_pos_as_xyz
'x,y,z'
'-x,-y,-z'
'-x,y,-z'
'x,-y,z'
'x+1/2,y+1/2,z'
'-x+1/2,-y+1/2,-z'
'-x+1/2,y+1/2,-z'
'x+1/2,-y+1/2,z'
loop_
_atom_site_label
_atom_site_fract_x
_atom_site_fract_y
_atom_site_fract_z
Na1 0.0000 0.0000 0.0000
Na2 0.0000 0.3315 0.0000
Nd1 0.0000 0.1666 0.5000
Pa1 0.0000 0.5000 0.5000
S1 0.2388 0.3398 0.7353
S2 0.2420 0.5000 0.2666

=====

# 6
# PBE-GGA Na3Nd3PaS8, relaxed
# - total magnetic moment (μB/f.u.) = 1.015
# - electronic total energy (eV/atom) = -5.7991
data_Na3Nd3PaS8
_symmetry_space_group_name_H-M 'R -3 m'
_symmetry_Int_Tables_number 166
_symmetry_space_group_name_Hall '-R 3 2"'
_cell_length_a 8.2489
_cell_length_b 8.2489
_cell_length_c 20.1406
_cell_angle_alpha 90.00
_cell_angle_beta 90.00
_cell_angle_gamma 120.00
loop_
_atom_site_label
_atom_site_fract_x
_atom_site_fract_y
_atom_site_fract_z
Na1 0.0000 0.5000 0.0000
Nd1 0.0000 0.5000 0.5000
Pa1 0.0000 0.0000 0.5000
S1 0.0000 0.0000 0.2447
S2 0.0144 0.5072 0.2410

=====

# 7
# PBE-GGA Na2Nd2PaS6, relaxed
# - total magnetic moment (μB/f.u.) = 1.062
# - electronic total energy (eV/atom) = -5.9485
data_Na2Nd2PaS6
_symmetry_space_group_name_H-M 'C 1 2/m 1'
_symmetry_Int_Tables_number 12
_cell_length_a 7.1485
_cell_length_b 12.2519
_cell_length_c 7.1159
_cell_angle_alpha 90.00
_cell_angle_beta 109.28
_cell_angle_gamma 90.00
loop_
_symmetry_equiv_pos_as_xyz
'x,y,z'
'-x,-y,-z'
'-x,y,-z'
'x,-y,z'
'x+1/2,y+1/2,z'
'-x+1/2,-y+1/2,-z'
'-x+1/2,y+1/2,-z'
'x+1/2,-y+1/2,z'
loop_
_atom_site_label
_atom_site_fract_x
_atom_site_fract_y
_atom_site_fract_z
Na1 0.0000 0.1684 0.0000
Nd1 0.0000 0.3349 0.5000
Pa1 0.0000 0.0000 0.5000
S1 0.2319 0.1623 0.7247
S2 0.2397 0.0000 0.2754

=====

# 8
# PBE-GGA Na2NdPaSe4, relaxed
# - total magnetic moment (μB/f.u.) = 1.907
# - electronic total energy (eV/atom) = -5.3133
data_Na2NdPaSe4
_symmetry_space_group_name_H-M 'P 1 2/m 1'
_symmetry_Int_Tables_number 10
_cell_length_a 7.2799
_cell_length_b 4.1657
_cell_length_c 7.4932
_cell_angle_alpha 90.00
_cell_angle_beta 108.61
_cell_angle_gamma 90.00
loop_
_symmetry_equiv_pos_as_xyz
'x,y,z'
'-x,-y,-z'
'-x,y,-z'
'x,-y,z'
loop_
_atom_site_label
_atom_site_fract_x
_atom_site_fract_y
_atom_site_fract_z
Na1 0.0000 0.0000 0.0000
Na2 0.5000 0.5000 0.0000
Nd1 0.0000 0.5000 0.5000
Pa1 0.5000 0.0000 0.5000
Se1 0.2550 0.0000 0.7387
Se2 0.2609 0.5000 0.2629

=====

# 9
# PBE-GGA Na2NdPaTe4, relaxed
# - total magnetic moment (μB/f.u.) = 1.902
# - electronic total energy (eV/atom) = -4.7597
data_Na2NdPaTe4
_symmetry_space_group_name_H-M 'P 1 2/m 1'
_symmetry_Int_Tables_number 10
_cell_length_a 7.7269
_cell_length_b 4.4208
_cell_length_c 8.0952
_cell_angle_alpha 90.00
_cell_angle_beta 108.27
_cell_angle_gamma 90.00
loop_
_symmetry_equiv_pos_as_xyz
'x,y,z'
'-x,-y,-z'
'-x,y,-z'
'x,-y,z'
loop_
_atom_site_label
_atom_site_fract_x
_atom_site_fract_y
_atom_site_fract_z
Na1 0.0000 0.0000 0.0000
Na2 0.5000 0.5000 0.0000
Nd1 0.0000 0.5000 0.5000
Pa1 0.5000 0.0000 0.5000
Te1 0.2538 0.0000 0.7408
Te2 0.2585 0.5000 0.2609

=====

# 10
# PBE-GGA NaNdPb2, relaxed
# - total magnetic moment (μB/f.u.) = 0.000
# - electronic total energy (eV/atom) = -3.7102
# - DFT formation energy (kJ/mol of formula units) = -129.0
data_NaNdPb2
_symmetry_space_group_name_H-M 'P 4/m m m'
_symmetry_Int_Tables_number 123
_symmetry_space_group_name_Hall '-P 4 2'
_cell_length_a 3.5253
_cell_length_b 3.5253
_cell_length_c 9.6450
_cell_angle_alpha 90.00
_cell_angle_beta 90.00
_cell_angle_gamma 90.00
loop_
_atom_site_label
_atom_site_fract_x
_atom_site_fract_y
_atom_site_fract_z
Na1 0.0000 0.0000 0.0000
Nd1 0.0000 0.0000 0.5000
Pb1 0.5000 0.5000 0.2505

=====

# 11
# PBE-GGA NaNdPb2, relaxed
# - total magnetic moment (μB/f.u.) = 0.000
# - electronic total energy (eV/atom) = -3.4672
# - DFT formation energy (kJ/mol of formula units) = -35.2
data_NaNdPb2
_symmetry_space_group_name_H-M 'R 3 m'
_symmetry_Int_Tables_number 160
_symmetry_space_group_name_Hall 'R 3 -2"'
_cell_length_a 4.8652
_cell_length_b 4.8652
_cell_length_c 19.8934
_cell_angle_alpha 90.00
_cell_angle_beta 90.00
_cell_angle_gamma 120.00
loop_
_atom_site_label
_atom_site_fract_x
_atom_site_fract_y
_atom_site_fract_z
Na1 0.0000 0.0000 0.0000
Nd1 0.0000 0.0000 0.8146
Pb1 0.0000 0.0000 0.2442
Pb2 0.0000 0.0000 0.4034

=====

# 12
# PBE-GGA NaNd2Pb9, relaxed
# - total magnetic moment (μB/f.u.) = 0.000
# - electronic total energy (eV/atom) = -3.9776
# - DFT formation energy (kJ/mol of formula units) = -337.8
data_NaNd2Pb9
_symmetry_space_group_name_H-M 'P 4/m m m'
_symmetry_Int_Tables_number 123
_symmetry_space_group_name_Hall '-P 4 2'
_cell_length_a 4.8843
_cell_length_b 4.8843
_cell_length_c 15.0059
_cell_angle_alpha 90.00
_cell_angle_beta 90.00
_cell_angle_gamma 90.00
loop_
_atom_site_label
_atom_site_fract_x
_atom_site_fract_y
_atom_site_fract_z
Na1 0.0000 0.0000 0.0000
Nd1 0.0000 0.0000 0.3368
Pb1 0.0000 0.5000 0.1634
Pb2 0.0000 0.5000 0.5000
Pb3 0.5000 0.5000 0.0000
Pb4 0.5000 0.5000 0.3297

=====

What did the twelfth record say?
# PBE-GGA NaNd2Pb9, relaxed
# - total magnetic moment (μB/f.u.) = 0.000
# - electronic total energy (eV/atom) = -3.9776
# - DFT formation energy (kJ/mol of formula units) = -337.8
data_NaNd2Pb9
_symmetry_space_group_name_H-M 'P 4/m m m'
_symmetry_Int_Tables_number 123
_symmetry_space_group_name_Hall '-P 4 2'
_cell_length_a 4.8843
_cell_length_b 4.8843
_cell_length_c 15.0059
_cell_angle_alpha 90.00
_cell_angle_beta 90.00
_cell_angle_gamma 90.00
loop_
_atom_site_label
_atom_site_fract_x
_atom_site_fract_y
_atom_site_fract_z
Na1 0.0000 0.0000 0.0000
Nd1 0.0000 0.0000 0.3368
Pb1 0.0000 0.5000 0.1634
Pb2 0.0000 0.5000 0.5000
Pb3 0.5000 0.5000 0.0000
Pb4 0.5000 0.5000 0.3297

=====

> What is the total magnetic moment in the second record?

0.000 μB/f.u.